(1)
5
Lattice="5.389 0.000 0.000 0.000 5.389 0.000 0.000 0.000 5.389" Properties=species:S:1:pos:R:3 comment="PBEsol TaCuBi3, relaxed" delta_e_f_mev_per_atom=916 volume_a3_per_atom=31.31 magmom_total_mub_per_fu=0.000 dft_energy_ha_per_atom=-0.185 rho_g_cm3=9.2 crystal_system=cubic pbc="T T T"
Ta 0.000 0.000 0.000
Cu 2.695 2.695 2.695
Bi 0.000 0.000 2.695
Bi 0.000 2.695 0.000
Bi 2.695 0.000 0.000

=====

(2)
5
Lattice="5.093 0.000 0.000 0.000 5.093 0.000 0.000 0.000 4.940" Properties=species:S:1:pos:R:3 comment="PBEsol Ta2TiCuBi, relaxed" delta_e_f_mev_per_atom=2289 volume_a3_per_atom=25.63 magmom_total_mub_per_fu=0.015 dft_energy_ha_per_atom=-0.225 rho_g_cm3=8.8 crystal_system=tetragonal pbc="T T T"
Ta 0.000 2.547 0.000
Ta 2.547 0.000 0.000
Ti 0.000 0.000 2.470
Cu 2.547 2.547 2.470
Bi 0.000 0.000 0.000

=====

(3)
5
Lattice="5.082 0.000 0.000 0.000 5.082 0.000 0.000 0.000 5.082" Properties=species:S:1:pos:R:3 comment="PBEsol CuTcBi3, relaxed" delta_e_f_mev_per_atom=1137 volume_a3_per_atom=26.24 magmom_total_mub_per_fu=2.833 dft_energy_ha_per_atom=-0.167 rho_g_cm3=10.0 crystal_system=cubic pbc="T T T"
Cu 0.000 0.000 0.000
Tc 2.541 2.541 2.541
Bi 0.000 0.000 2.541
Bi 0.000 2.541 0.000
Bi 2.541 0.000 0.000

=====

(4)
5
Lattice="4.747 0.000 0.000 0.000 4.747 0.000 0.000 0.000 4.654" Properties=species:S:1:pos:R:3 comment="PBEsol CuTc2BiTe, relaxed" volume_a3_per_atom=20.97 magmom_total_mub_per_fu=3.613 dft_energy_ha_per_atom=-0.203 rho_g_cm3=9.4 raw_formation_energy_ev_per_atom=1.41 crystal_system=tetragonal pbc="T T T"
Cu 0.000 0.000 0.000
Tc 0.000 2.373 0.000
Tc 2.373 0.000 0.000
Bi 2.373 2.373 2.327
Te 0.000 0.000 2.327

=====

What did the first record say?
5
Lattice="5.389 0.000 0.000 0.000 5.389 0.000 0.000 0.000 5.389" Properties=species:S:1:pos:R:3 comment="PBEsol TaCuBi3, relaxed" delta_e_f_mev_per_atom=916 volume_a3_per_atom=31.31 magmom_total_mub_per_fu=0.000 dft_energy_ha_per_atom=-0.185 rho_g_cm3=9.2 crystal_system=cubic pbc="T T T"
Ta 0.000 0.000 0.000
Cu 2.695 2.695 2.695
Bi 0.000 0.000 2.695
Bi 0.000 2.695 0.000
Bi 2.695 0.000 0.000